This record from Alexandria describes an optimized crystal structure of PmYErTl. The functional is PBE.

Volume: 29.3 Å³/atom
Polymorph energy (0 for the lowest one): 175 meV/atom
Density: 8.585 g/cm3
E: -72.76 eV per cell

Lattice parameters (Å, degrees): 7.7669 7.7669 7.7669 90.00 90.00 90.00
Space group F-43m (No. 216)
Unique sites:
Pm (0.0000, 0.0000, 0.0000) (multiplicity 4)
Y (0.2500, 0.2500, 0.7500) (multiplicity 4)
Er (0.2500, 0.2500, 0.2500) (multiplicity 4)
Tl (0.0000, 0.0000, 0.5000) (multiplicity 4)